Material: GaTe4Br
Method: DFT, PBE-GGA
State: optimized geometry

Cell: 8.032 8.032 7.457 Å, 99.76 99.76 77.67°
Positions (direct):
Ga: 0.025 0.025 0.316
Ga: 0.975 0.975 0.684
Te: 0.090 0.711 0.077
Te: 0.212 0.212 0.208
Te: 0.232 0.768 0.500
Te: 0.289 0.910 0.923
Te: 0.711 0.090 0.077
Te: 0.768 0.232 0.500
Te: 0.788 0.788 0.792
Te: 0.910 0.289 0.923
Br: 0.262 0.262 0.737
Br: 0.738 0.738 0.263

Uncorrected formation energy in eV/atom: -0.008
DFT total energy in eV/atom: -2.89